Record 1
Li3Ge4Pt | PBE-GGA | relaxed

a b c (Å): 4.2216 5.8898 11.0198
angles (deg): 90.00 90.00 90.00
Closest atoms and distances in Å follow each position.
Atoms (fractional coordinates):
Li1 0.0000 0.0000 0.0000  8 Ge 3.11, 4 Li 3.25
Li2 0.0000 0.5000 0.1245  2 Pt 2.52, 6 Ge 2.58-2.74, 1 Li 2.74
Li3 0.0000 0.5000 0.8755  2 Pt 2.52, 6 Ge 2.58-2.74, 1 Li 2.74
Li4 0.5000 0.0000 0.3755  2 Pt 2.52, 6 Ge 2.58-2.74, 1 Li 2.74
Li5 0.5000 0.0000 0.6245  2 Pt 2.52, 6 Ge 2.58-2.74, 1 Li 2.74
Li6 0.5000 0.5000 0.5000  8 Ge 3.11, 4 Li 3.25
Ge1 0.0000 0.2833 0.3277  1 Pt 2.53, 3 Ge 2.55-2.75, 3 Li 2.58-2.74
Ge2 0.0000 0.2833 0.6723  1 Pt 2.53, 3 Ge 2.55-2.75, 3 Li 2.58-2.74
Ge3 0.0000 0.7167 0.3277  1 Pt 2.53, 3 Ge 2.55-2.75, 3 Li 2.58-2.74
Ge4 0.0000 0.7167 0.6723  1 Pt 2.53, 3 Ge 2.55-2.75, 3 Li 2.58-2.74
Ge5 0.5000 0.2167 0.1723  1 Pt 2.53, 3 Ge 2.55-2.75, 3 Li 2.58-2.74
Ge6 0.5000 0.2167 0.8277  1 Pt 2.53, 3 Ge 2.55-2.75, 3 Li 2.58-2.74
Ge7 0.5000 0.7833 0.1723  1 Pt 2.53, 3 Ge 2.55-2.75, 3 Li 2.58-2.74
Ge8 0.5000 0.7833 0.8277  1 Pt 2.53, 3 Ge 2.55-2.75, 3 Li 2.58-2.74
Pt1 0.0000 0.0000 0.5000  4 Li 2.52, 4 Ge 2.53
Pt2 0.5000 0.5000 0.0000  4 Li 2.52, 4 Ge 2.53

## Properties
SG: Immm, No. 71
DOS(E_F), states/eV per cell: 4.3
Magnetic moment, μB per cell: 0.00
Energy of formation, meV/atom: -329


Record 2
CsHgIrOs2 | PBE-GGA | relaxed

a b c (Å): 4.9632 4.9632 5.6360
angles (deg): 90.00 90.00 90.00
Closest atoms and distances in Å follow each position.
Atoms (fractional coordinates):
Cs1 0.0000 0.0000 0.0000  4 Os 2.48
Hg1 0.0000 0.0000 0.5000  2 Cs 2.82
Ir1 0.5000 0.5000 0.5000  4 Hg 3.51, 8 Os 3.75
Os1 0.0000 0.5000 0.0000  2 Cs 2.48
Os2 0.5000 0.0000 0.0000  2 Cs 2.48

## Properties
SG: P4/mmm, No. 123
DOS(E_F), states/eV per cell: 7.5
Magnetic moment, μB per cell: 4.22
Energy of formation, meV/atom: 3872